Computed, not measured: a relaxed PrSm5Th2 crystal at the PBE level of DFT.

Properties
The calculation puts the total DFT energy (no corrections) at -84.78 eV/cell. The calculation puts the density of states at the Fermi level at 1.546 states/eV/atom.

a = 3.569 Å, b = 11.358 Å, c = 13.492 Å
α = 90.00°, β = 90.00°, γ = 90.00°
Space group Immm (No. 71)
Asymmetric unit:
1 Pr 0.000 0.000 0.000
2 Sm 0.000 0.232 0.369
3 Sm 0.000 0.500 0.000
4 Th 0.000 0.500 0.259